The following is a PBE calculation of a relaxed structure of TbAs3Pd5, from Alexandria via LeMat-Bulk.

Cell lengths 4.172, 7.194, 11.459 Å; angles 90.00, 90.00, 106.86 degrees
Atoms (fractional coordinates):
Tb 0.818 0.636 0.750
Tb 0.182 0.364 0.250
As 0.410 0.820 0.908
As 0.868 0.735 0.250
As 0.410 0.820 0.592
As 0.590 0.180 0.408
As 0.132 0.265 0.750
As 0.590 0.180 0.092
Pd 0.769 0.538 0.429
Pd 0.231 0.462 0.929
Pd 0.000 0.000 0.500
Pd 0.000 0.000 0.000
Pd 0.399 0.799 0.127
Pd 0.601 0.201 0.873
Pd 0.601 0.201 0.627
Pd 0.769 0.538 0.071
Pd 0.231 0.462 0.571
Pd 0.399 0.799 0.373

Properties
Formation energy from the elements = -0.555 eV/atom
SG = Cmcm (63)
Total magnetization = 0.00 μB per formula unit
Mass density = 9.24 g/cm3
Final energy = -5.5043 eV/atom